Entry 1:
Compound: PmNdNiPd
Source: Alexandria via LeMat-Bulk
Functional: PBE
Structure: relaxed

```
PmNdNiPd
1.0
-4.720 0.619 -1.637
-2.220 -3.618 -2.705
-3.736 -2.710 2.009
Ni Nd Pd Pm
1 1 1 1
direct
0.250 0.250 0.250
0.000 0.000 0.000
0.750 0.750 0.750
0.500 0.500 0.500
```

Properties
Space group   F-43m
Uncorrected energy   -5.6015 eV per atom
DOS(E_F)   4.39 states/eV per cell
ΔH_f (0 K)   -0.478 eV per atom

Entry 2:
Compound: PmNdNiPd
Source: Alexandria via LeMat-Bulk
Functional: PBE
Structure: relaxed

```
PmNdNiPd
1.0
-1.176 2.666 -2.581
-1.181 -3.264 -2.833
-4.294 -1.420 3.425
Pm Nd Ni Pd
1 1 1 1
direct
0.137 0.000 0.274
0.860 0.500 0.721
0.581 0.500 0.161
0.422 0.000 0.844
```

Properties
Space group   Amm2
Uncorrected energy   -5.6847 eV per atom
DOS(E_F)   2.57 states/eV per cell
ΔH_f (0 K)   -0.562 eV per atom

Entry 3:
Compound: PrNdNiPd
Source: Alexandria via LeMat-Bulk
Functional: PBE
Structure: relaxed

```
PrNdNiPd
1.0
-4.669 1.976 0.016
-3.189 -1.063 3.795
-1.222 3.590 3.365
Pr Ni Nd Pd
1 1 1 1
direct
0.250 0.250 0.250
0.000 0.000 0.000
0.750 0.750 0.750
0.500 0.500 0.500
```

Properties
Space group   F-43m
Uncorrected energy   -5.5780 eV per atom
DOS(E_F)   4.39 states/eV per cell
ΔH_f (0 K)   -0.448 eV per atom

Entry 4:
Compound: PrNdNiPd
Source: Alexandria via LeMat-Bulk
Functional: PBE
Structure: relaxed

```
PrNdNiPd
1.0
3.922 0.000 0.000
0.000 4.502 0.000
-1.961 0.000 5.372
Pr Nd Ni Pd
1 1 1 1
direct
0.139 0.000 0.279
0.863 0.500 0.727
0.420 0.000 0.840
0.577 0.500 0.155
```

Properties
Space group   Amm2
Uncorrected energy   -5.6667 eV per atom
DOS(E_F)   2.60 states/eV per cell
ΔH_f (0 K)   -0.536 eV per atom

Entry 5:
Compound: Nd2Ni4Sb3Pd
Source: Alexandria via LeMat-Bulk
Functional: PBE
Structure: relaxed

```
Nd2Ni4Sb3Pd
1.0
-3.052 -2.937 -0.868
3.063 -2.921 -0.883
0.031 -2.949 9.863
Nd Ni Sb Pd
2 4 3 1
direct
0.500 0.000 0.251
0.000 0.500 0.749
0.500 0.500 0.000
0.000 0.000 0.000
0.500 0.000 0.630
0.000 0.500 0.370
0.000 0.000 0.500
0.500 0.000 0.870
0.000 0.500 0.130
0.500 0.500 0.500
```

Properties
Space group   P-4m2
Uncorrected energy   -5.6534 eV per atom
DOS(E_F)   7.45 states/eV per cell

Entry 6:
Compound: Nd2NiSb4Pd3
Source: Alexandria via LeMat-Bulk
Functional: PBE
Structure: relaxed

```
Nd2NiSb4Pd3
1.0
-2.882 0.857 3.397
-3.494 -1.024 -2.707
0.612 -10.389 3.140
Nd Ni Sb Pd
2 1 4 3
direct
0.500 0.000 0.270
0.000 0.500 0.730
0.500 0.500 0.500
0.500 0.500 0.000
0.000 0.000 0.000
0.500 0.000 0.623
0.000 0.500 0.377
0.000 0.000 0.500
0.500 0.000 0.862
0.000 0.500 0.138
```

Properties
Space group   P-4m2
Uncorrected energy   -5.4834 eV per atom
DOS(E_F)   4.59 states/eV per cell

Entry 7:
Compound: NdSi2NiPd
Source: Alexandria via LeMat-Bulk
Functional: PBE
Structure: relaxed

```
NdSi2NiPd
1.0
-0.611 4.084 -0.450
-1.909 0.120 3.688
5.564 -1.216 0.580
Nd Si Ni Pd
1 2 1 1
direct
0.000 0.000 0.000
0.624 0.624 0.247
0.376 0.376 0.753
0.250 0.750 0.500
0.750 0.250 0.500
```

Properties
Space group   I-4m2
Uncorrected energy   -6.1673 eV per atom
DOS(E_F)   2.89 states/eV per cell

Entry 8:
Compound: Nd2Si3Ni4Pd
Source: Alexandria via LeMat-Bulk
Functional: PBE
Structure: relaxed

```
Nd2Si3Ni4Pd
1.0
-1.605 -3.708 -0.216
1.237 -0.756 3.778
-8.549 3.495 3.499
Nd Si Ni Pd
2 3 4 1
direct
0.500 0.000 0.249
0.000 0.500 0.751
0.000 0.000 0.500
0.500 0.000 0.882
0.000 0.500 0.118
0.500 0.500 0.000
0.000 0.000 0.000
0.500 0.000 0.647
0.000 0.500 0.353
0.500 0.500 0.500
```

Properties
Space group   P-4m2
Uncorrected energy   -6.1035 eV per atom
DOS(E_F)   6.40 states/eV per cell

Entry 9:
Compound: Nd2Si3Ni12Pd
Source: Alexandria via LeMat-Bulk
Functional: PBE
Structure: relaxed

```
Nd2Si3Ni12Pd
1.0
6.087 -1.431 -1.015
1.761 6.000 -1.015
1.761 1.025 5.998
Nd Si Ni Pd
2 3 12 1
direct
0.658 0.658 0.658
0.342 0.342 0.342
0.500 0.000 0.000
0.000 0.500 0.000
0.000 0.000 0.500
0.384 0.384 0.901
0.811 0.811 0.304
0.304 0.811 0.811
0.901 0.384 0.384
0.811 0.304 0.811
0.384 0.901 0.384
0.616 0.616 0.099
0.189 0.189 0.696
0.696 0.189 0.189
0.099 0.616 0.616
0.189 0.696 0.189
0.616 0.099 0.616
0.000 0.000 0.000
```

Properties
Space group   R-3m
Uncorrected energy   -5.6148 eV per atom
DOS(E_F)   12.76 states/eV per cell

Entry 10:
Compound: NdNiSnPd
Source: Alexandria via LeMat-Bulk
Functional: PBE
Structure: relaxed

```
NdNiSnPd
1.0
4.815 0.000 0.000
2.407 4.169 0.000
2.407 1.390 3.931
Ni Nd Sn Pd
1 1 1 1
direct
0.500 0.500 0.500
0.750 0.750 0.750
0.250 0.250 0.250
0.000 0.000 0.000
```

Properties
Space group   F-43m
Uncorrected energy   -5.4840 eV per atom
DOS(E_F)   3.87 states/eV per cell
ΔH_f (0 K)   -0.548 eV per atom

Entry 11:
Compound: Nd2Ni3Sn4Pd
Source: Alexandria via LeMat-Bulk
Functional: PBE
Structure: relaxed

```
Nd2Ni3Sn4Pd
1.0
4.495 0.000 0.000
0.000 4.495 0.000
0.000 0.000 10.282
Nd Ni Sn Pd
2 3 4 1
direct
0.500 0.000 0.256
0.000 0.500 0.744
0.000 0.000 0.500
0.500 0.000 0.877
0.000 0.500 0.123
0.500 0.500 0.000
0.000 0.000 0.000
0.500 0.000 0.634
0.000 0.500 0.366
0.500 0.500 0.500
```

Properties
Space group   P-4m2
Uncorrected energy   -5.4024 eV per atom
DOS(E_F)   5.23 states/eV per cell
ΔH_f (0 K)   -0.594 eV per atom

Entry 12:
Compound: TbNdNiPd
Source: Alexandria via LeMat-Bulk
Functional: PBE
Structure: relaxed

```
TbNdNiPd
1.0
3.848 0.000 0.000
0.000 4.479 0.000
-1.924 0.000 5.228
Tb Nd Ni Pd
1 1 1 1
direct
0.864 0.500 0.727
0.141 0.000 0.283
0.418 0.000 0.837
0.577 0.500 0.153
```

Properties
Space group   Amm2
Uncorrected energy   -5.6899 eV per atom
DOS(E_F)   2.45 states/eV per cell
ΔH_f (0 K)   -0.597 eV per atom